First-principles (PBE) data for an optimized crystal structure of KSi2Pt3, as listed in the Alexandria database.

a = 8.4075 Å, b = 8.4075 Å, c = 10.3497 Å
α = 106.36°, β = 106.36°, γ = 27.30°
Fractional coordinates of all 18 atoms:
K 0.0000 0.0000 0.0000
K 0.1601 0.1601 0.6961
K 0.8399 0.8399 0.3039
Si 0.1950 0.1950 0.1190
Si 0.3626 0.3626 0.5557
Si 0.4633 0.4633 0.2203
Si 0.5367 0.5367 0.7797
Si 0.6374 0.6374 0.4443
Si 0.8050 0.8050 0.8810
Pt 0.0360 0.0360 0.3251
Pt 0.2173 0.2173 0.4038
Pt 0.3248 0.3248 0.0408
Pt 0.3671 0.3671 0.7922
Pt 0.5000 0.5000 0.5000
Pt 0.6329 0.6329 0.2078
Pt 0.6752 0.6752 0.9592
Pt 0.7827 0.7827 0.5962
Pt 0.9640 0.9640 0.6749

- total moment (μB per atom) = 0.000
- crystal system = monoclinic
- uncorrected formation energy (eV/atom) = -0.53
- symmetry = C2/m (12)

***

First-principles (PBE) data for an optimized crystal structure of Rb3SnBi3S8, as listed in the Alexandria database.

a = 9.2239 Å, b = 9.2239 Å, c = 9.2239 Å
α = 52.53°, β = 52.53°, γ = 52.53°
Fractional coordinates of all 15 atoms:
Rb 0.0000 0.5000 0.5000
Rb 0.5000 0.0000 0.5000
Rb 0.5000 0.5000 0.0000
Sn 0.5000 0.5000 0.5000
Bi 0.0000 0.0000 0.5000
Bi 0.0000 0.5000 0.0000
Bi 0.5000 0.0000 0.0000
S 0.2337 0.2337 0.2337
S 0.2554 0.7159 0.7159
S 0.2841 0.2841 0.7446
S 0.2841 0.7446 0.2841
S 0.7159 0.2554 0.7159
S 0.7159 0.7159 0.2554
S 0.7446 0.2841 0.2841
S 0.7663 0.7663 0.7663

- total moment (μB per atom) = 0.000
- crystal system = trigonal
- uncorrected formation energy (eV/atom) = -0.70
- symmetry = R-3m (166)